--- one ---
{
  "formula": "Cd2MoPt",
  "functional": "PBE",
  "state": "optimized geometry",
  "magnetic_moment_mub_per_fu": 0.67,
  "cell": [[2.878, 0.000, 0.000], [0.000, 5.001, 0.000], [0.000, 0.000, 4.982]],
  "species": ["Cd", "Cd", "Mo", "Pt"],
  "fractional_positions": [[0.000, 0.000, 0.000], [0.500, 0.500, 0.000], [0.500, 0.000, 0.500], [0.000, 0.500, 0.500]]
}

--- two ---
{
  "formula": "Cd2MoPt",
  "functional": "PBE",
  "state": "optimized geometry",
  "magnetic_moment_mub_per_fu": 0.00,
  "cell": [[-0.733, -0.308, 2.745], [-2.084, -1.797, -0.773], [5.482, -6.665, 0.715]],
  "species": ["Cd", "Cd", "Mo", "Pt"],
  "fractional_positions": [[0.000, 0.000, 0.992], [0.000, 0.000, 0.508], [0.500, 0.500, 0.250], [0.500, 0.500, 0.750]]
}

--- three ---
{
  "formula": "Cd2MoPt",
  "functional": "PBE",
  "state": "optimized geometry",
  "magnetic_moment_mub_per_fu": 0.00,
  "cell": [[4.975, 0.000, 0.000], [0.000, 4.975, 0.000], [0.000, 0.000, 2.891]],
  "species": ["Cd", "Cd", "Mo", "Pt"],
  "fractional_positions": [[0.000, 0.000, 0.000], [0.500, 0.500, 0.000], [0.500, 0.000, 0.500], [0.000, 0.500, 0.500]]
}

Tell me which of them is the most stable. Sure, it is two.

--- one ---
{
  "formula": "Cd2MoPt",
  "functional": "PBE",
  "state": "optimized geometry",
  "magnetic_moment_mub_per_fu": 0.00,
  "cell": [[4.790, 0.000, 0.000], [0.000, 2.811, -0.003], [0.000, 0.492, 5.268]],
  "species": ["Cd", "Cd", "Mo", "Pt"],
  "fractional_positions": [[0.000, 0.946, 0.000], [0.000, 0.554, 0.500], [0.500, 0.250, 0.250], [0.500, 0.750, 0.750]]
}

--- two ---
{
  "formula": "Cd2MoPt",
  "functional": "PBE",
  "state": "optimized geometry",
  "magnetic_moment_mub_per_fu": 2.73,
  "cell": [[5.056, 0.000, 0.000], [1.514, 4.824, 0.000], [-3.285, -2.412, 2.992]],
  "species": ["Cd", "Cd", "Mo", "Pt"],
  "fractional_positions": [[0.000, 0.000, 0.000], [0.500, 0.500, 0.000], [0.250, 0.750, 0.500], [0.750, 0.250, 0.500]]
}

--- three ---
{
  "formula": "Cd2MoPt",
  "functional": "PBE",
  "state": "optimized geometry",
  "magnetic_moment_mub_per_fu": 0.00,
  "cell": [[-2.038, 1.566, -1.395], [-2.026, -1.971, 0.747], [-1.567, 4.314, 7.129]],
  "species": ["Cd", "Cd", "Mo", "Pt"],
  "fractional_positions": [[0.000, 0.000, 0.979], [0.500, 0.500, 0.269], [0.000, 0.000, 0.523], [0.500, 0.500, 0.729]]
}

Tell me which of them is the most stable. Sure, it is three.

--- one ---
{
  "formula": "Cd2MoPt",
  "functional": "PBE",
  "state": "optimized geometry",
  "magnetic_moment_mub_per_fu": 0.00,
  "cell": [[-4.348, -2.150, -0.617], [-2.715, -3.984, 0.819], [-2.242, 1.658, 4.666]],
  "species": ["Cd", "Cd", "Mo", "Pt"],
  "fractional_positions": [[0.997, 0.997, 0.993], [0.752, 0.752, 0.752], [0.504, 0.504, 0.470], [0.247, 0.247, 0.284]]
}

--- two ---
{
  "formula": "Cd2MoPt",
  "functional": "PBE",
  "state": "optimized geometry",
  "magnetic_moment_mub_per_fu": 0.66,
  "cell": [[5.812, -0.011, 0.006], [2.965, 4.999, -0.006], [-3.662, -3.774, 2.477]],
  "species": ["Cd", "Cd", "Mo", "Pt"],
  "fractional_positions": [[0.009, 0.009, 0.000], [0.491, 0.491, 0.000], [0.750, 0.250, 0.500], [0.250, 0.750, 0.500]]
}

Tell me which of them is the most stable. Sure, it is one.

--- one ---
{
  "formula": "CdMo2Pt2",
  "functional": "PBE",
  "state": "optimized geometry",
  "magnetic_moment_mub_per_fu": 0.00,
  "cell": [[-0.194, -0.906, 7.854], [-3.848, -6.852, -0.886], [2.404, -1.338, -0.095]],
  "species": ["Mo", "Mo", "Mo", "Mo", "Pt", "Pt", "Pt", "Pt", "Cd", "Cd"],
  "fractional_positions": [[0.173, 0.673, 0.500], [0.673, 0.827, 0.500], [0.827, 0.327, 0.500], [0.327, 0.173, 0.500], [0.378, 0.878, 0.000], [0.878, 0.622, 0.000], [0.622, 0.122, 0.000], [0.122, 0.378, 0.000], [0.000, 0.000, 0.000], [0.500, 0.500, 0.000]]
}

--- two ---
{
  "formula": "CdMo2Pt2",
  "functional": "PBE",
  "state": "optimized geometry",
  "magnetic_moment_mub_per_fu": 0.00,
  "cell": [[-0.483, 2.291, 2.824], [-1.373, -2.753, 1.998], [5.193, -1.673, 4.628]],
  "species": ["Mo", "Mo", "Pt", "Pt", "Cd"],
  "fractional_positions": [[0.750, 0.250, 0.500], [0.250, 0.750, 0.500], [0.401, 0.401, 0.198], [0.599, 0.599, 0.802], [0.000, 0.000, 0.000]]
}

Tell me which of them is the most stable. Sure, it is one.